1.
Entry from Alexandria: a geometry-optimized Sm4SbN structure (PBE).

Cell: 8.0147 8.0147 7.3013 Å, 105.85 105.85 44.40°
Closest atoms and distances in Å follow each position.
Sites, in units of the cell vectors:
Sm 0.0236 0.1768 0.4426  1 N 2.38
Sm 0.1768 0.0236 0.9426  1 N 2.38
Sm 0.2516 0.3672 0.8193  2 N 2.52-2.58
Sm 0.3672 0.2516 0.3193  2 N 2.52-2.58
Sm 0.6328 0.7484 0.6807  2 N 2.52-2.58
Sm 0.7484 0.6328 0.1807  2 N 2.52-2.58
Sm 0.8232 0.9764 0.0574  1 N 2.38
Sm 0.9764 0.8232 0.5574  1 N 2.38
Sb 0.3839 0.6161 0.2500  8 Sm 3.20-3.57
Sb 0.6161 0.3839 0.7500  8 Sm 3.20-3.57
N 0.0000 0.5000 0.5000  6 Sm 2.38-2.58
N 0.5000 0.0000 0.0000  6 Sm 2.38-2.58

Crystal system = monoclinic
Space group = C2/c
Energy relative to the elements, uncorrected = -770 meV per atom

---

2.
Entry from Alexandria: a geometry-optimized SmSbN structure (PBE).

Cell: 8.2291 8.0602 7.3625 Å, 64.31 61.96 53.73°
Closest atoms and distances in Å follow each position.
Sites, in units of the cell vectors:
Sm 0.0691 0.6809 0.6809  2 N 2.17
Sm 0.3191 0.9309 0.9309  2 N 2.17
Sm 0.6809 0.0691 0.0691  2 N 2.17
Sm 0.9309 0.3191 0.3191  2 N 2.17
Sb 0.2650 0.2650 0.4850  1 Sb 2.76
Sb 0.4850 0.4850 0.2650  1 Sb 2.76
Sb 0.5150 0.5150 0.7350  1 Sb 2.76
Sb 0.7350 0.7350 0.5150  1 Sb 2.76
N 0.0000 0.0000 0.0000  2 Sm 2.17
N 0.0000 0.0000 0.5000  2 Sm 2.17
N 0.0000 0.5000 0.0000  2 Sm 2.17
N 0.5000 0.0000 0.0000  2 Sm 2.17

Crystal system = orthorhombic
Space group = Fddd
Energy relative to the elements, uncorrected = 85 meV per atom

---

3.
Entry from Alexandria: a geometry-optimized Sm3Sb2N structure (PBE).

Cell: 7.3594 7.3594 7.9411 Å, 101.42 101.42 51.32°
Closest atoms and distances in Å follow each position.
Sites, in units of the cell vectors:
Sm 0.0973 0.9027 0.7500  1 N 2.24
Sm 0.2965 0.4338 0.3563  1 N 2.27
Sm 0.4338 0.2965 0.8563  1 N 2.27
Sm 0.5662 0.7035 0.1437  1 N 2.27
Sm 0.7035 0.5662 0.6437  1 N 2.27
Sm 0.9027 0.0973 0.2500  1 N 2.24
Sb 0.1101 0.2354 0.0437  6 Sm 3.06-3.39, 1 Sb 3.32
Sb 0.2354 0.1101 0.5437  6 Sm 3.06-3.39, 1 Sb 3.32
Sb 0.7646 0.8899 0.4563  6 Sm 3.06-3.39, 1 Sb 3.32
Sb 0.8899 0.7646 0.9563  6 Sm 3.06-3.39, 1 Sb 3.32
N 0.4483 0.5517 0.7500  3 Sm 2.24-2.27
N 0.5517 0.4483 0.2500  3 Sm 2.24-2.27

Crystal system = monoclinic
Space group = C2/c
Energy relative to the elements, uncorrected = -1075 meV per atom

---

4.
Entry from Alexandria: a geometry-optimized Sm5Sb4N structure (PBE).

Cell: 7.4608 7.4608 7.4608 Å, 100.24 100.24 130.14°
Closest atoms and distances in Å follow each position.
Sites, in units of the cell vectors:
Sm 0.0000 0.0000 0.0000  1 N 2.28
Sm 0.3139 0.6716 0.8324  1 N 2.70
Sm 0.4816 0.3139 0.6423  1 N 2.70
Sm 0.6716 0.8393 0.3577  1 N 2.70
Sm 0.8393 0.4816 0.1676  1 N 2.70
Sb 0.1670 0.3866 0.3939  6 Sm 3.09-3.24
Sb 0.3866 0.9927 0.2196  6 Sm 3.09-3.24
Sb 0.7731 0.1670 0.7804  6 Sm 3.09-3.24
Sb 0.9927 0.7731 0.6061  6 Sm 3.09-3.24
N 0.6375 0.6375 0.0000  1 Sm 2.28

Crystal system = tetragonal
Space group = I4
Energy relative to the elements, uncorrected = -1072 meV per atom

---

5.
Entry from Alexandria: a geometry-optimized Sm12Sb3N5 structure (PBE).

Cell: 13.8374 13.8374 13.8374 Å, 109.47 109.47 109.47°
Closest atoms and distances in Å follow each position.
Sites, in units of the cell vectors:
Sm 0.0119 0.1974 0.1096  2 N 2.29-2.56
Sm 0.0119 0.3145 0.9022  2 N 2.29-2.56
Sm 0.0877 0.6974 0.6855  2 N 2.29-2.56
Sm 0.0877 0.8904 0.4022  2 N 2.29-2.56
Sm 0.0978 0.6096 0.4123  2 N 2.29-2.56
Sm 0.0978 0.9881 0.6855  2 N 2.29-2.56
Sm 0.1096 0.0119 0.1974  2 N 2.29-2.56
Sm 0.1096 0.5978 0.9123  2 N 2.29-2.56
Sm 0.1855 0.1974 0.5877  2 N 2.29-2.56
Sm 0.1855 0.4881 0.5978  2 N 2.29-2.56
Sm 0.1974 0.1096 0.0119  2 N 2.29-2.56
Sm 0.1974 0.5877 0.1855  2 N 2.29-2.56
Sm 0.3026 0.3145 0.9123  2 N 2.29-2.56
Sm 0.3026 0.4881 0.3903  2 N 2.29-2.56
Sm 0.3145 0.9022 0.0119  2 N 2.29-2.56
Sm 0.3145 0.9123 0.3026  2 N 2.29-2.56
Sm 0.3903 0.3026 0.4881  2 N 2.29-2.56
Sm 0.3903 0.5877 0.9022  2 N 2.29-2.56
Sm 0.4022 0.0877 0.8904  2 N 2.29-2.56
Sm 0.4022 0.8145 0.5119  2 N 2.29-2.56
Sm 0.4123 0.0978 0.6096  2 N 2.29-2.56
Sm 0.4123 0.8145 0.8026  2 N 2.29-2.56
Sm 0.4881 0.3903 0.3026  2 N 2.29-2.56
Sm 0.4881 0.5978 0.1855  2 N 2.29-2.56
Sm 0.5119 0.4022 0.8145  2 N 2.29-2.56
Sm 0.5119 0.6096 0.6974  2 N 2.29-2.56
Sm 0.5877 0.1855 0.1974  2 N 2.29-2.56
Sm 0.5877 0.9022 0.3903  2 N 2.29-2.56
Sm 0.5978 0.1855 0.4881  2 N 2.29-2.56
Sm 0.5978 0.9123 0.1096  2 N 2.29-2.56
Sm 0.6096 0.4123 0.0978  2 N 2.29-2.56
Sm 0.6096 0.6974 0.5119  2 N 2.29-2.56
Sm 0.6855 0.0877 0.6974  2 N 2.29-2.56
Sm 0.6855 0.0978 0.9881  2 N 2.29-2.56
Sm 0.6974 0.5119 0.6096  2 N 2.29-2.56
Sm 0.6974 0.6855 0.0877  2 N 2.29-2.56
Sm 0.8026 0.4123 0.8145  2 N 2.29-2.56
Sm 0.8026 0.8904 0.9881  2 N 2.29-2.56
Sm 0.8145 0.5119 0.4022  2 N 2.29-2.56
Sm 0.8145 0.8026 0.4123  2 N 2.29-2.56
Sm 0.8904 0.4022 0.0877  2 N 2.29-2.56
Sm 0.8904 0.9881 0.8026  2 N 2.29-2.56
Sm 0.9022 0.0119 0.3145  2 N 2.29-2.56
Sm 0.9022 0.3903 0.5877  2 N 2.29-2.56
Sm 0.9123 0.1096 0.5978  2 N 2.29-2.56
Sm 0.9123 0.3026 0.3145  2 N 2.29-2.56
Sm 0.9881 0.6855 0.0978  2 N 2.29-2.56
Sm 0.9881 0.8026 0.8904  2 N 2.29-2.56
Sb 0.1250 0.2500 0.3750  8 Sm 3.18-3.28
Sb 0.1250 0.3750 0.7500  8 Sm 3.18-3.28
Sb 0.2500 0.3750 0.1250  8 Sm 3.18-3.28
Sb 0.2500 0.8750 0.6250  8 Sm 3.18-3.28
Sb 0.3750 0.1250 0.2500  8 Sm 3.18-3.28
Sb 0.3750 0.7500 0.1250  8 Sm 3.18-3.28
Sb 0.6250 0.2500 0.8750  8 Sm 3.18-3.28
Sb 0.6250 0.8750 0.7500  8 Sm 3.18-3.28
Sb 0.7500 0.1250 0.3750  8 Sm 3.18-3.28
Sb 0.7500 0.6250 0.8750  8 Sm 3.18-3.28
Sb 0.8750 0.6250 0.2500  8 Sm 3.18-3.28
Sb 0.8750 0.7500 0.6250  8 Sm 3.18-3.28
N 0.0000 0.0000 0.0000  6 Sm 2.56
N 0.0000 0.0000 0.5000  6 Sm 2.56
N 0.0000 0.5000 0.0000  6 Sm 2.56
N 0.0000 0.5000 0.5000  6 Sm 2.56
N 0.1250 0.7500 0.8750  4 Sm 2.29
N 0.1250 0.8750 0.2500  4 Sm 2.29
N 0.2500 0.1250 0.8750  4 Sm 2.29
N 0.2500 0.6250 0.3750  4 Sm 2.29
N 0.3750 0.2500 0.6250  4 Sm 2.29
N 0.3750 0.6250 0.7500  4 Sm 2.29
N 0.5000 0.0000 0.0000  6 Sm 2.56
N 0.5000 0.0000 0.5000  6 Sm 2.56
N 0.5000 0.5000 0.0000  6 Sm 2.56
N 0.5000 0.5000 0.5000  6 Sm 2.56
N 0.6250 0.3750 0.2500  4 Sm 2.29
N 0.6250 0.7500 0.3750  4 Sm 2.29
N 0.7500 0.3750 0.6250  4 Sm 2.29
N 0.7500 0.8750 0.1250  4 Sm 2.29
N 0.8750 0.1250 0.7500  4 Sm 2.29
N 0.8750 0.2500 0.1250  4 Sm 2.29

Crystal system = cubic
Space group = Ia-3d
Energy relative to the elements, uncorrected = -972 meV per atom

---

6.
Entry from Alexandria: a geometry-optimized SmSbN structure (PBE).

Cell: 4.1676 4.1676 8.0934 Å, 90.00 90.00 90.00°
Closest atoms and distances in Å follow each position.
Sites, in units of the cell vectors:
Sm 0.2500 0.2500 0.1262  4 N 2.32
Sm 0.7500 0.7500 0.8738  4 N 2.32
Sb 0.2500 0.2500 0.5615  4 Sb 3.11
Sb 0.7500 0.7500 0.4385  4 Sb 3.11
N 0.2500 0.7500 0.0000  4 Sm 2.32
N 0.7500 0.2500 0.0000  4 Sm 2.32

Crystal system = tetragonal
Space group = P4/nmm
Energy relative to the elements, uncorrected = -727 meV per atom